Density functional theory data (PBE) for a relaxed structure of Y7Zn2Cu2.

Output
Raw total energy (eV per cell): -112.042
N(E_F) (states/eV per cell): 25.43

Cell: 7.5788 11.0451 7.1015 Å, 90.00 90.00 90.00°
Closest atoms and distances in Å follow each position.
Space group Cmmm (No. 65)
Inequivalent atoms, fractional coordinates:
Y (0.0000, 0.0000, 0.0000) [2 per cell]  2 Cu 3.33
Y (0.0000, 0.5000, 0.2548) [4 per cell]  2 Cu 2.85, 2 Zn 3.07
Y (0.2500, 0.2500, 0.2668) [8 per cell]  2 Cu 2.74
Zn (0.1657, 0.0000, 0.5000) [4 per cell]  1 Zn 2.51
Cu (0.0000, 0.3011, 0.0000) [4 per cell]  6 Y 2.74-2.85

=====

Density functional theory data (PBE) for a relaxed structure of YZn11Cu.

Output
Raw total energy (eV per cell): -54.055
N(E_F) (states/eV per cell): 9.64

Cell: 5.1957 12.4963 6.7593 Å, 90.00 112.42 90.00°
Closest atoms and distances in Å follow each position.
Space group C2/m (No. 12)
Inequivalent atoms, fractional coordinates:
Y (0.0000, 0.0000, 0.0000) [2 per cell]  18 Zn 3.12-3.38, 2 Cu 3.39
Zn (0.0000, 0.0000, 0.5000) [2 per cell]  8 Zn 2.58-2.72, 2 Cu 2.60
Zn (0.1053, 0.3921, 0.2197) [8 per cell]  1 Cu 2.55, 8 Zn 2.58-2.85
Zn (0.1874, 0.1748, 0.3559) [8 per cell]  7 Zn 2.60-2.85, 1 Cu 2.67
Zn (0.2500, 0.2500, 0.0000) [4 per cell]  10 Zn 2.58-2.77
Cu (0.0000, 0.5000, 0.5000) [2 per cell]  10 Zn 2.55-2.67